{
  "formula": "Li5CdAg4",
  "functional": "PBE",
  "state": "relaxed",
  "space_group": "P4/mmm, No. 123",
  "dft_energy_ev_per_cell": -24.1,
  "delta_e_f_ev_per_atom": -0.221,
  "lattice": [[3.260, 0.000, 0.000], [0.000, 3.260, 0.000], [0.000, 0.000, 15.397]],
  "species": ["Li", "Li", "Li", "Li", "Li", "Ag", "Ag", "Ag", "Ag", "Cd"],
  "fractional_positions": [[0.500, 0.500, 0.500], [0.500, 0.500, 0.109], [0.500, 0.500, 0.697], [0.500, 0.500, 0.303], [0.500, 0.500, 0.891], [0.000, 0.000, 0.402], [0.000, 0.000, 0.598], [0.000, 0.000, 0.795], [0.000, 0.000, 0.205], [0.000, 0.000, 0.000]]
}

***

{
  "formula": "LiCd12Ag7",
  "functional": "PBE",
  "state": "relaxed",
  "polymorph_energy_ev_per_atom": 0.003,
  "space_group": "R-3, No. 148",
  "dft_energy_ev_per_cell": -33.7,
  "delta_e_f_ev_per_atom": -0.043,
  "lattice": [[8.626, 0.000, 2.892], [-4.028, 6.281, 2.474], [0.570, 0.000, 7.840]],
  "species": ["Cd", "Cd", "Cd", "Cd", "Cd", "Cd", "Cd", "Cd", "Cd", "Cd", "Cd", "Cd", "Ag", "Ag", "Ag", "Ag", "Ag", "Ag", "Ag", "Li"],
  "fractional_positions": [[0.951, 0.808, 0.722], [0.795, 0.447, 0.652], [0.447, 0.652, 0.901], [0.857, 0.530, 0.192], [0.326, 0.278, 0.530], [0.553, 0.348, 0.099], [0.205, 0.553, 0.348], [0.651, 0.099, 0.553], [0.049, 0.192, 0.278], [0.143, 0.470, 0.808], [0.674, 0.722, 0.470], [0.349, 0.901, 0.447], [0.758, 0.129, 0.145], [0.629, 0.725, 0.129], [0.500, 0.000, 0.000], [0.371, 0.275, 0.871], [0.242, 0.871, 0.855], [0.096, 0.855, 0.275], [0.904, 0.145, 0.725], [0.000, 0.000, 0.000]]
}